P.
## Er4CoTe (PBE)

Data for crystalline Er4CoTe at its relaxed geometry.

Cell: 18.6943 5.1627 9.4459 Å, 90.00 114.19 90.00°
Last column: nearest neighbours and their distance in Å.
Space group C2/m (No. 12)
Unique sites:
Er 0.0276 0.0000 0.2001  2 Co 2.52-2.70
Er 0.1057 0.5000 0.0284  2 Co 2.59
Er 0.1945 0.0000 0.8935  1 Co 2.53
Er 0.2411 0.0000 0.3077  1 Co 2.64
Co 0.1119 0.0000 0.0491  6 Er 2.52-2.70
Te 0.1608 0.0000 0.5413  5 Er 3.12-3.16

volume: 34.651 Å³ per atom
crystal system: monoclinic
DOS(E_F): 0.88 states/eV/atom

=====

Q.
## Er4CoTe (PBE)

Data for crystalline Er4CoTe at its relaxed geometry.

Cell: 8.1490 3.8446 19.2160 Å, 90.00 90.00 90.00°
Last column: nearest neighbours and their distance in Å.
Space group Pnma (No. 62)
Unique sites:
Er 0.0161 0.2500 0.0673  2 Co 2.80
Er 0.0451 0.7500 0.2156  4 Te 3.14-3.16, 4 Er 3.45-3.49
Er 0.1380 0.7500 0.6452  2 Co 2.76
Er 0.1444 0.7500 0.4543  2 Co 2.77
Co 0.2366 0.2500 0.5506  6 Er 2.76-2.80
Te 0.2448 0.2500 0.3131  9 Er 3.14-3.43

volume: 25.085 Å³ per atom
crystal system: orthorhombic
DOS(E_F): 0.79 states/eV/atom

=====

Most stable structure: Q

=====

P.
## Er5CoTe2 (PBE)

Data for crystalline Er5CoTe2 at its relaxed geometry.

Cell: 8.1127 12.9630 3.9996 Å, 90.00 90.00 90.00°
Last column: nearest neighbours and their distance in Å.
Space group Pbam (No. 55)
Unique sites:
Er 0.0000 0.0000 0.0000  4 Te 3.10
Er 0.1621 0.3219 0.0000  1 Co 2.66
Er 0.1651 0.5800 0.5000  2 Co 2.62
Co 0.0000 0.5000 0.0000  6 Er 2.62-2.66
Te 0.0375 0.8186 0.5000  8 Er 3.10-3.29

volume: 26.289 Å³ per atom
crystal system: orthorhombic
DOS(E_F): 0.99 states/eV/atom

=====

Q.
## Er5CoTe2 (PBE)

Data for crystalline Er5CoTe2 at its relaxed geometry.

Cell: 4.9590 16.3277 13.3332 Å, 90.00 90.00 90.00°
Last column: nearest neighbours and their distance in Å.
Space group Cmcm (No. 63)
Unique sites:
Er 0.0000 0.1006 0.1154  1 Co 2.61
Er 0.0000 0.2626 0.7500  2 Co 2.50
Er 0.0000 0.3086 0.0783  1 Co 2.74, 2 Te 3.05
Co 0.0000 0.2167 0.2500  6 Er 2.50-2.74
Te 0.0000 0.0866 0.6154  5 Er 3.05-3.39

volume: 33.737 Å³ per atom
crystal system: orthorhombic
DOS(E_F): 0.88 states/eV/atom

=====

Most stable structure: P

=====

P.
## Er2TiCo2 (PBE)

Data for crystalline Er2TiCo2 at its relaxed geometry.

Cell: 9.5567 5.6192 7.1295 Å, 90.00 101.35 90.00°
Last column: nearest neighbours and their distance in Å.
Space group C2/c (No. 15)
Unique sites:
Er 0.1487 0.1220 0.1464  6 Co 2.86-3.12, 1 Ti 3.16
Ti 0.0000 0.4076 0.7500  4 Co 2.42-2.45
Co 0.1402 0.3541 0.5008  1 Co 2.40, 2 Ti 2.42-2.45

volume: 18.769 Å³ per atom
crystal system: monoclinic
DOS(E_F): 0.95 states/eV/atom

=====

Q.
## Er2TiCo2 (PBE)

Data for crystalline Er2TiCo2 at its relaxed geometry.

Cell: 3.7972 5.4953 8.9007 Å, 90.00 90.00 90.00°
Last column: nearest neighbours and their distance in Å.
Space group Immm (No. 71)
Unique sites:
Er 0.0000 0.0000 0.2016  6 Co 2.88-3.06
Ti 0.0000 0.5000 0.0000  4 Co 2.43
Co 0.0000 0.2773 0.5000  2 Ti 2.43, 1 Co 2.45

volume: 18.573 Å³ per atom
crystal system: orthorhombic
DOS(E_F): 1.01 states/eV/atom

=====

Most stable structure: P

=====

P.
## Er3TmCo2 (PBE)

Data for crystalline Er3TmCo2 at its relaxed geometry.

Cell: 16.1756 3.7209 11.3513 Å, 90.00 123.49 90.00°
Last column: nearest neighbours and their distance in Å.
Space group C2/m (No. 12)
Unique sites:
Er 0.0838 0.0000 0.4387  3 Co 2.73-2.90
Er 0.0837 0.0000 0.9403  3 Co 2.74-2.91
Er 0.1597 0.5000 0.7456  4 Co 2.74-3.05
Tm 0.1600 0.5000 0.2461  4 Co 2.74-3.05
Co 0.2322 0.5000 0.0481  2 Co 2.38
Co 0.2319 0.5000 0.5476  2 Co 2.38

volume: 23.740 Å³ per atom
crystal system: monoclinic
DOS(E_F): 1.16 states/eV/atom

=====

Q.
## Er3TmCo2 (PBE)

Data for crystalline Er3TmCo2 at its relaxed geometry.

Cell: 6.4585 13.0521 6.8436 Å, 90.00 90.00 90.00°
Last column: nearest neighbours and their distance in Å.
Space group Ibam (No. 72)
Unique sites:
Er 0.0000 0.0000 0.2500  4 Co 2.85
Er 0.0000 0.2661 0.2500  4 Co 2.80
Tm 0.0000 0.5000 0.0000  2 Co 2.54
Co 0.2196 0.1361 0.0000  1 Tm 2.54, 4 Er 2.80

volume: 24.038 Å³ per atom
crystal system: orthorhombic
DOS(E_F): 0.85 states/eV/atom

=====

Most stable structure: P

=====

P.
## YEr2Co (PBE)

Data for crystalline YEr2Co at its relaxed geometry.

Cell: 3.6760 11.9340 9.2071 Å, 90.00 90.00 90.00°
Last column: nearest neighbours and their distance in Å.
Space group Cmcm (No. 63)
Unique sites:
Y 0.0000 0.0815 0.2500  2 Co 2.75
Er 0.0000 0.3583 0.0713  2 Co 2.77
Co 0.0000 0.2470 0.7500  2 Y 2.75, 4 Er 2.77

volume: 25.245 Å³ per atom
crystal system: orthorhombic
DOS(E_F): 1.28 states/eV/atom

=====

Q.
## YEr2Co (PBE)

Data for crystalline YEr2Co at its relaxed geometry.

Cell: 3.7476 3.7476 26.5445 Å, 90.00 90.00 120.00°
Last column: nearest neighbours and their distance in Å.
Space group R3m (No. 160, hexagonal axes)
Unique sites:
Y 0.0000 0.0000 0.0000  6 Er 3.59-3.68, 6 Y 3.75
Er 0.0000 0.0000 0.5545  3 Co 2.63
Er 0.0000 0.0000 0.7748  3 Co 2.63
Co 0.0000 0.0000 0.1646  6 Er 2.63

volume: 26.905 Å³ per atom
crystal system: trigonal
DOS(E_F): 1.25 states/eV/atom

=====

Most stable structure: P

=====

P.
## YEr2Co (PBE)

Data for crystalline YEr2Co at its relaxed geometry.

Cell: 3.3740 3.3740 8.8141 Å, 90.00 90.00 90.00°
Last column: nearest neighbours and their distance in Å.
Space group P4/mmm (No. 123)
Unique sites:
Y 0.0000 0.0000 0.0000  4 Y 3.37, 8 Er 3.68
Er 0.5000 0.5000 0.3184  4 Co 2.87, 1 Er 3.20
Co 0.0000 0.0000 0.5000  8 Er 2.87

volume: 25.084 Å³ per atom
crystal system: tetragonal
DOS(E_F): 1.13 states/eV/atom

=====

Q.
## YEr2Co (PBE)

Data for crystalline YEr2Co at its relaxed geometry.

Cell: 4.4812 4.4812 17.8553 Å, 90.00 90.00 120.00°
Last column: nearest neighbours and their distance in Å.
Space group R-3m (No. 166, hexagonal axes)
Unique sites:
Y 0.0000 0.0000 0.0000  6 Er 3.32
Er 0.0000 0.0000 0.2170  3 Co 2.74
Co 0.0000 0.0000 0.5000  6 Er 2.74

volume: 25.876 Å³ per atom
crystal system: trigonal
DOS(E_F): 0.89 states/eV/atom

=====

Most stable structure: P

=====

P.
## YEr2Co2 (PBE)

Data for crystalline YEr2Co2 at its relaxed geometry.

Cell: 11.2212 3.7215 5.4441 Å, 90.00 103.45 90.00°
Last column: nearest neighbours and their distance in Å.
Space group C2/m (No. 12)
Unique sites:
Y 0.0000 0.0000 0.0000  6 Co 3.02-3.34
Er 0.1487 0.5000 0.5808  4 Co 2.73-2.88
Co 0.2180 0.5000 0.1037  2 Co 2.37

volume: 22.111 Å³ per atom
crystal system: monoclinic
DOS(E_F): 0.77 states/eV/atom

=====

Q.
## YEr2Co2 (PBE)

Data for crystalline YEr2Co2 at its relaxed geometry.

Cell: 7.1623 7.1623 4.1444 Å, 90.00 90.00 90.00°
Last column: nearest neighbours and their distance in Å.
Space group P4/mbm (No. 127)
Unique sites:
Y 0.0000 0.0000 0.0000  4 Co 2.90
Er 0.1716 0.3284 0.5000  6 Co 2.93-3.02
Co 0.1110 0.6110 0.0000  1 Co 2.25

volume: 21.260 Å³ per atom
crystal system: tetragonal
DOS(E_F): 0.57 states/eV/atom

=====

Most stable structure: Q

=====

P.
## Er12ZnCo6 (PBE)

Data for crystalline Er12ZnCo6 at its relaxed geometry.

Cell: 13.4054 13.4054 8.5725 Å, 90.00 90.00 120.00°
Last column: nearest neighbours and their distance in Å.
Space group R-3 (No. 148, hexagonal axes)
Unique sites:
Er 0.0386 0.2592 0.4268  3 Co 2.65-2.71
Er 0.0620 0.1815 0.8310  3 Co 2.64-2.75
Zn 0.0000 0.0000 0.5000  12 Er 3.31-3.56
Co 0.0777 0.5025 0.7891  6 Er 2.64-2.75

volume: 23.406 Å³ per atom
crystal system: trigonal
DOS(E_F): 0.71 states/eV/atom

=====

Q.
## Er12ZnCo6 (PBE)

Data for crystalline Er12ZnCo6 at its relaxed geometry.

Cell: 9.5132 9.5132 9.5132 Å, 90.00 90.00 90.00°
Last column: nearest neighbours and their distance in Å.
Space group Im-3 (No. 204)
Unique sites:
Er 0.0000 0.3006 0.1935  3 Co 2.63-2.86
Zn 0.0000 0.0000 0.0000  12 Er 3.40
Co 0.0000 0.1145 0.5000  1 Co 2.18

volume: 22.657 Å³ per atom
crystal system: cubic
DOS(E_F): 0.82 states/eV/atom

=====

Most stable structure: Q

=====

P.
## La2EuCo (PBE)

Data for crystalline La2EuCo at its relaxed geometry.

Cell: 3.5778 3.5778 9.6556 Å, 90.00 90.00 90.00°
Last column: nearest neighbours and their distance in Å.
Space group P4/mmm (No. 123)
Unique sites:
La 0.0000 0.0000 0.1679  4 Co 3.00, 1 La 3.24
Eu 0.5000 0.5000 0.5000  4 Eu 3.58
Co 0.5000 0.5000 0.0000  8 La 3.00

volume: 30.899 Å³ per atom
crystal system: tetragonal
DOS(E_F): 1.36 states/eV/atom

=====

Q.
## La2EuCo (PBE)

Data for crystalline La2EuCo at its relaxed geometry.

Cell: 3.9351 3.9351 32.0131 Å, 90.00 90.00 120.00°
Last column: nearest neighbours and their distance in Å.
Space group R-3m (No. 166, hexagonal axes)
Unique sites:
La 0.0000 0.0000 0.1182  3 Co 2.75
Eu 0.0000 0.0000 0.0000  2 La 3.78, 6 Eu 3.94
Co 0.0000 0.0000 0.5000  6 La 2.75

volume: 35.776 Å³ per atom
crystal system: trigonal
DOS(E_F): 1.16 states/eV/atom

=====

Most stable structure: P